Entry 1:
# Nd8Co3PtBr4 (PBE, relaxed)
data_Nd8Co3PtBr4
_cell_length_a 8.1373
_cell_length_b 8.1373
_cell_length_c 23.3161
_cell_angle_alpha 90.00
_cell_angle_beta 90.00
_cell_angle_gamma 120.00
_symmetry_space_group_name_H-M 'R -3 m'
_symmetry_Int_Tables_number 166
_symmetry_space_group_name_Hall '-R 3 2"'
loop_
_atom_site_label
_atom_site_fract_x
_atom_site_fract_y
_atom_site_fract_z
Nd1 0.0000 0.0000 0.2311
Nd2 0.0137 0.5069 0.7689
Co1 0.0000 0.5000 0.5000
Pt1 0.0000 0.0000 0.5000
Br1 0.0000 0.0000 0.0000
Br2 0.0000 0.5000 0.0000
# Fermi-level density of states, states/eV per cell: 21.40
# Uncorrected formation energy, eV per atom: -0.852
# Spin magnetization, μB per atom: 0.0000

***

Entry 2:
# Ca3Pd2Pt (PBE, relaxed)
data_Ca3Pd2Pt
_cell_length_a 3.561
_cell_length_b 3.561
_cell_length_c 10.293
_cell_angle_alpha 90.00
_cell_angle_beta 90.00
_cell_angle_gamma 90.00
_symmetry_space_group_name_H-M 'P 4/m m m'
_symmetry_Int_Tables_number 123
_symmetry_space_group_name_Hall '-P 4 2'
loop_
_atom_site_label
_atom_site_fract_x
_atom_site_fract_y
_atom_site_fract_z
Ca1 0.000 0.000 0.000
Ca2 0.000 0.000 0.338
Pd1 0.500 0.500 0.168
Pt1 0.500 0.500 0.500
# ΔE_f, kcal/mol of atoms: -17.20
# Fermi-level density of states, states/eV per cell: 1.98
# E above lowest polymorph, eV/atom: 0.004
# Spin magnetization, μB per atom: 0.0000

***

Entry 3:
# Mg2MnSi2Ir5 (PBE, relaxed)
data_Mg2MnSi2Ir5
_cell_length_a 9.552
_cell_length_b 9.552
_cell_length_c 3.316
_cell_angle_alpha 90.00
_cell_angle_beta 90.00
_cell_angle_gamma 90.00
_symmetry_space_group_name_H-M 'P 4/m b m'
_symmetry_Int_Tables_number 127
_symmetry_space_group_name_Hall '-P 4 2ab'
loop_
_atom_site_label
_atom_site_fract_x
_atom_site_fract_y
_atom_site_fract_z
Mg1 0.172 0.328 0.000
Mn1 0.000 0.000 0.000
Si1 0.130 0.630 0.000
Ir1 0.000 0.500 0.500
Ir2 0.071 0.796 0.500
# Fermi-level density of states, states/eV per cell: 8.22
# Uncorrected formation energy, eV per atom: -0.460
# Spin magnetization, μB per atom: 0.4017

***

Entry 4:
# CuHg3Te4 (PBE, relaxed)
data_CuHg3Te4
_cell_length_a 9.061
_cell_length_b 7.853
_cell_length_c 7.538
_cell_angle_alpha 90.00
_cell_angle_beta 90.00
_cell_angle_gamma 90.00
_symmetry_space_group_name_H-M 'P m n 21'
_symmetry_Int_Tables_number 31
loop_
_symmetry_equiv_pos_as_xyz
'x,y,z'
'-x+1/2,-y,z+1/2'
'-x,y,z'
'x+1/2,-y,z+1/2'
loop_
_atom_site_label
_atom_site_fract_x
_atom_site_fract_y
_atom_site_fract_z
Cu1 0.000 0.168 0.000
Hg1 0.000 0.838 0.498
Hg2 0.250 0.331 0.495
Te1 0.000 0.171 0.657
Te2 0.000 0.861 0.117
Te3 0.232 0.323 0.116
# Fermi-level density of states, states/eV per cell: 7.69
# Uncorrected formation energy, eV per atom: -0.114
# E above lowest polymorph, eV/atom: 0.008
# Spin magnetization, μB per atom: 0.0000

***

Entry 5:
# TeAsIrBr2 (PBE, relaxed)
data_TeAsIrBr2
_cell_length_a 5.122
_cell_length_b 5.122
_cell_length_c 4.813
_cell_angle_alpha 90.00
_cell_angle_beta 90.00
_cell_angle_gamma 90.00
_symmetry_space_group_name_H-M 'P 4/m m m'
_symmetry_Int_Tables_number 123
_symmetry_space_group_name_Hall '-P 4 2'
loop_
_atom_site_label
_atom_site_fract_x
_atom_site_fract_y
_atom_site_fract_z
Te1 0.000 0.000 0.000
As1 0.500 0.500 0.000
Ir1 0.500 0.500 0.500
Br1 0.000 0.500 0.500
# Fermi-level density of states, states/eV per cell: 4.57
# Uncorrected formation energy, eV per atom: 0.448
# E above lowest polymorph, eV/atom: 0.000
# Spin magnetization, μB per atom: 0.0000

***

Entry 6:
# TlAuN2 (PBE, relaxed)
data_TlAuN2
_cell_length_a 3.5514
_cell_length_b 3.5514
_cell_length_c 18.7105
_cell_angle_alpha 90.00
_cell_angle_beta 90.00
_cell_angle_gamma 120.00
_symmetry_space_group_name_H-M 'R -3 m'
_symmetry_Int_Tables_number 166
_symmetry_space_group_name_Hall '-R 3 2"'
loop_
_atom_site_label
_atom_site_fract_x
_atom_site_fract_y
_atom_site_fract_z
Tl1 0.0000 0.0000 0.0000
Au1 0.0000 0.0000 0.5000
N1 0.0000 0.0000 0.3965
# Fermi-level density of states, states/eV per cell: 6.33
# Uncorrected formation energy, eV per atom: 1.271
# E above lowest polymorph, eV/atom: 1.211
# Spin magnetization, μB per atom: 0.0000

***

Entry 7:
# Sc5Pd4Pt (PBE, relaxed)
data_Sc5Pd4Pt
_cell_length_a 3.258
_cell_length_b 3.258
_cell_length_c 17.037
_cell_angle_alpha 90.00
_cell_angle_beta 90.00
_cell_angle_gamma 90.00
_symmetry_space_group_name_H-M 'P 4/m m m'
_symmetry_Int_Tables_number 123
_symmetry_space_group_name_Hall '-P 4 2'
loop_
_atom_site_label
_atom_site_fract_x
_atom_site_fract_y
_atom_site_fract_z
Sc1 0.000 0.000 0.000
Sc2 0.000 0.000 0.200
Sc3 0.000 0.000 0.401
Pd1 0.500 0.500 0.100
Pd2 0.500 0.500 0.300
Pt1 0.500 0.500 0.500
# ΔE_f, kcal/mol of atoms: -22.36
# Fermi-level density of states, states/eV per cell: 5.49
# Spin magnetization, μB per atom: 0.0000

***

Entry 8:
# Tc2MoOs2 (PBE, relaxed)
data_Tc2MoOs2
_cell_length_a 5.000
_cell_length_b 7.846
_cell_length_c 8.589
_cell_angle_alpha 90.00
_cell_angle_beta 90.00
_cell_angle_gamma 90.00
_symmetry_space_group_name_H-M 'F m m m'
_symmetry_Int_Tables_number 69
_symmetry_space_group_name_Hall '-F 2 2'
loop_
_atom_site_label
_atom_site_fract_x
_atom_site_fract_y
_atom_site_fract_z
Tc1 0.000 0.154 0.000
Mo1 0.000 0.000 0.500
Os1 0.250 0.250 0.250
# ΔE_f, kcal/mol of atoms: 16.76
# Fermi-level density of states, states/eV per cell: 15.82
# E above lowest polymorph, eV/atom: 0.519
# Spin magnetization, μB per atom: 0.0000

***

Q: Number 4 is which compound?
A: CuHg3Te4

***

Q: Which value of spin magnetization does entry 3 give?
A: 0.4017 μB per atom